TbScZnRu: optimized geometry, PBE.

It has space group F-43m (No. 216), with a = 6.7724 Å, b = 6.7724 Å, c = 6.7724 Å, α = 90.00°, β = 90.00° and γ = 90.00°. The distinct sites, in fractional coordinates, are Tb at (0.0000, 0.0000, 0.0000), Sc at (0.0000, 0.0000, 0.5000), Zn at (0.2500, 0.2500, 0.2500) and Ru at (0.2500, 0.2500, 0.7500).

The formation energy is -0.38 eV/atom. Its total moment is 0.0000 μB/atom. The volume comes out at 311 Å³/cell. The density of states at the Fermi level comes out at 0.988 states/eV per atom.